No. 1
# TmPuS2N

Crystalline TmPuS2N at its relaxed geometry (PBE-GGA, the Alexandria database).

E_form (uncorrected) in eV/atom: -1.69
Mass density in g/cm³: 8.30
Total energy in eV/atom: -8.766

Cell lengths 3.7970, 3.7970, 13.6286 Å; angles 90.00, 90.00, 90.00 degrees
Each line ends with the local moment (μB).
Positions (direct):
Tm: 0.0000 0.5000 0.8795  -0.01
S: 0.0000 0.5000 0.0914  0.00
N: 0.0000 0.0000 0.5000  -0.30
Pu: 0.5000 0.0000 0.5860  4.21
S: 0.5000 0.0000 0.3064  -0.09
S: 0.0000 0.5000 0.6936  -0.09
Pu: 0.0000 0.5000 0.4140  4.21
S: 0.5000 0.0000 0.9086  0.00
Tm: 0.5000 0.0000 0.1205  -0.01
N: 0.5000 0.5000 0.5000  -0.30

=====

No. 2
# Co2H2Os

Crystalline Co2H2Os at its relaxed geometry (PBE-GGA, the Alexandria database).

Mass density in g/cm³: 12.74
Total energy in eV/atom: -6.317

Cell lengths 2.6534, 2.6534, 6.0400 Å; angles 77.31, 77.31, 90.00 degrees
Each line ends with the local moment (μB).
Positions (direct):
Os: 0.0000 0.0000 0.0000  -0.01
Co: 0.3457 0.3457 0.3087  0.24
H: 0.7500 0.2500 0.5000  0.00
Co: 0.6543 0.6543 0.6913  0.24
H: 0.2500 0.7500 0.5000  0.00